1.
Here is an optimized crystal structure of BRhN2O from Alexandria. Energies are from PBE.

CIF file:
```
data_BRhN2O
_chemical_formula_sum 'B1 Rh1 N2 O1'
_space_group_name_H-M_alt 'P 4/m m m'
_space_group_IT_number 123
_space_group_name_Hall '-P 4 2'
_cell_length_a 3.755
_cell_length_b 3.755
_cell_length_c 4.187
_cell_angle_alpha 90.00
_cell_angle_beta 90.00
_cell_angle_gamma 90.00
loop_
_atom_site_label
_atom_site_fract_x
_atom_site_fract_y
_atom_site_fract_z
B1 0.000 0.000 0.000
Rh1 0.500 0.500 0.500
N1 0.000 0.500 0.500
O1 0.500 0.500 0.000
```

electronic total energy = -26.3 eV per cell
raw formation energy = 1.866 eV per atom
theoretical density = 4.4 g cm⁻³
magnetic moment = 0.0 μB/f.u.



2.
Here is an optimized crystal structure of Y2CrP from Alexandria. Energies are from PBE.

CIF file:
```
data_Y2CrP
_chemical_formula_sum 'Y4 Cr2 P2'
_space_group_name_H-M_alt 'P 1'
_space_group_IT_number 1
_cell_length_a 3.809
_cell_length_b 5.710
_cell_length_c 8.096
_cell_angle_alpha 80.86
_cell_angle_beta 88.83
_cell_angle_gamma 80.24
loop_
_space_group_symop_operation_xyz
'x,y,z'
loop_
_atom_site_label
_atom_site_fract_x
_atom_site_fract_y
_atom_site_fract_z
Y1 0.000 0.000 0.000
Y2 0.013 0.871 0.497
Y3 0.433 0.510 0.837
Y4 0.807 0.496 0.235
Cr1 0.384 0.324 0.488
Cr2 0.927 0.315 0.636
P1 0.455 0.104 0.246
P2 0.490 0.035 0.737
```

energy relative to the elements = -210 kJ/mol of formula units
electronic total energy = -60.3 eV per cell
theoretical density = 5.1 g cm⁻³
magnetic moment = 0.0 μB/f.u.



3.
Here is an optimized crystal structure of CsGe2F8 from Alexandria. Energies are from PBE.

CIF file:
```
data_CsGe2F8
_chemical_formula_sum 'Cs1 Ge2 F8'
_space_group_name_H-M_alt 'P -1'
_space_group_IT_number 2
_cell_length_a 3.976
_cell_length_b 7.356
_cell_length_c 7.667
_cell_angle_alpha 62.34
_cell_angle_beta 85.51
_cell_angle_gamma 86.88
loop_
_space_group_symop_operation_xyz
'x,y,z'
'-x,-y,-z'
loop_
_atom_site_label
_atom_site_fract_x
_atom_site_fract_y
_atom_site_fract_z
Cs1 0.000 0.000 0.000
Ge1 0.369 0.327 0.331
F1 0.140 0.673 0.673
F2 0.337 0.132 0.584
F3 0.337 0.589 0.287
F4 0.393 0.269 0.126
```

electronic total energy = -51.0 eV per cell
raw formation energy = -2.354 eV per atom
theoretical density = 3.6 g cm⁻³
magnetic moment = 0.0 μB/f.u.



4.
Here is an optimized crystal structure of Mg5Tl2Pd from Alexandria. Energies are from PBE.

CIF file:
```
data_Mg5Tl2Pd
_chemical_formula_sum 'Mg10 Tl4 Pd2'
_space_group_name_H-M_alt 'P b a m'
_space_group_IT_number 55
_cell_length_a 6.108
_cell_length_b 12.190
_cell_length_c 4.641
_cell_angle_alpha 90.00
_cell_angle_beta 90.00
_cell_angle_gamma 90.00
loop_
_space_group_symop_operation_xyz
'x,y,z'
'-x,-y,-z'
'-x,-y,z'
'x,y,-z'
'x+1/2,-y+1/2,-z'
'-x+1/2,y+1/2,z'
'-x+1/2,y+1/2,-z'
'x+1/2,-y+1/2,z'
loop_
_atom_site_label
_atom_site_fract_x
_atom_site_fract_y
_atom_site_fract_z
Mg1 0.000 0.000 0.000
Mg2 0.081 0.276 0.000
Mg3 0.169 0.596 0.500
Tl1 0.155 0.856 0.500
Pd1 0.000 0.500 0.000
```

energy above the lowest structure with this stoichiometry = 0 kJ/mol of formula units
energy relative to the elements = -147 kJ/mol of formula units
electronic total energy = -38.8 eV per cell
theoretical density = 6.1 g cm⁻³
magnetic moment = 0.0 μB/f.u.



5.
Here is an optimized crystal structure of HoTeS4 from Alexandria. Energies are from PBE.

CIF file:
```
data_HoTeS4
_chemical_formula_sum 'Ho4 Te4 S16'
_space_group_name_H-M_alt 'C 1 2/c 1'
_space_group_IT_number 15
_cell_length_a 11.439
_cell_length_b 7.744
_cell_length_c 7.438
_cell_angle_alpha 90.00
_cell_angle_beta 90.00
_cell_angle_gamma 90.00
loop_
_space_group_symop_operation_xyz
'x,y,z'
'-x,-y,-z'
'-x,y,-z+1/2'
'x,-y,z+1/2'
'x+1/2,y+1/2,z'
'-x+1/2,-y+1/2,-z'
'-x+1/2,y+1/2,-z+1/2'
'x+1/2,-y+1/2,z+1/2'
loop_
_atom_site_label
_atom_site_fract_x
_atom_site_fract_y
_atom_site_fract_z
Ho1 0.250 0.250 0.000
Te1 0.000 0.000 0.250
S1 0.008 0.242 0.000
S2 0.226 0.000 0.250
```

electronic total energy = -112.3 eV per cell
raw formation energy = -0.643 eV per atom
theoretical density = 4.2 g cm⁻³
magnetic moment = 0.0 μB/f.u.



6.
Here is an optimized crystal structure of UAl7Zn12 from Alexandria. Energies are from PBE.

CIF file:
```
data_UAl7Zn12
_chemical_formula_sum 'U3 Al21 Zn36'
_space_group_name_H-M_alt 'R -3 m'
_space_group_IT_number 166
_space_group_name_Hall '-R 3 2"'
_cell_length_a 13.6046
_cell_length_b 13.6046
_cell_length_c 6.3176
_cell_angle_alpha 90.00
_cell_angle_beta 90.00
_cell_angle_gamma 120.00
loop_
_atom_site_label
_atom_site_fract_x
_atom_site_fract_y
_atom_site_fract_z
U1 0.0000 0.0000 0.0000
Al1 0.0000 0.0000 0.5000
Al2 0.1084 0.5542 0.3652
Zn1 0.0000 0.2654 0.0000
Zn2 0.1074 0.5537 0.9496
```

energy relative to the elements = 117 kJ/mol of formula units
electronic total energy = -154.7 eV per cell
theoretical density = 6.0 g cm⁻³
magnetic moment = 2.8 μB/f.u.